(1)
Computed, not measured: crystalline Ba2AgPt at its relaxed geometry at the GGA-PBE level of DFT.

```
Ba2AgPt
1.0
2.3004 1.3281 8.1944
-2.3004 1.3281 8.1944
0.0000 -2.6563 8.1944
Ba Ag Pt
2 1 1
direct
0.0000 0.0000 0.0000
0.1900 0.1900 0.1900
0.7605 0.7605 0.7605
0.5959 0.5959 0.5959
```

## Properties
D(E_F) (states/eV/cell): 2.5
Energy of formation (eV/atom): -0.4538
Final energy (eV/atom): -3.638

(2)
Computed, not measured: crystalline Cd3IrSe at its relaxed geometry at the GGA-PBE level of DFT.

```
Cd3IrSe
1.0
5.1018 0.0000 0.0000
0.0000 5.1018 0.0000
0.0000 0.0000 5.1018
Cd Ir Se
3 1 1
direct
0.0000 0.0000 0.5000
0.0000 0.5000 0.0000
0.5000 0.0000 0.0000
0.5000 0.5000 0.5000
0.0000 0.0000 0.0000
```

## Properties
D(E_F) (states/eV/cell): 3.6
Offset from the most stable computed form (meV per atom): 587
Formation energy (no corrections) (eV/atom): 1.053
Final energy (eV/atom): -1.965

(3)
Computed, not measured: crystalline Rb2Ti3Br9 at its relaxed geometry at the GGA-PBE level of DFT.

```
Rb2Ti3Br9
1.0
5.5837 -9.0854 0.0000
5.5837 9.0854 0.0000
-4.3543 0.0000 9.3900
Rb Ti Br
4 6 18
direct
0.0617 0.7351 0.6840
0.2649 0.9383 0.3160
0.7351 0.0617 0.6840
0.9383 0.2649 0.3160
0.2720 0.4430 0.8560
0.3673 0.3673 0.1260
0.4430 0.2720 0.8560
0.5570 0.7280 0.1440
0.6327 0.6327 0.8740
0.7280 0.5570 0.1440
0.0076 0.3936 0.6797
0.1060 0.3099 0.9856
0.1900 0.1900 0.6747
0.2332 0.2332 0.2853
0.3054 0.6946 0.0000
0.3099 0.1060 0.9856
0.3872 0.5801 0.6997
0.3936 0.0076 0.6797
0.4199 0.6128 0.3003
0.5801 0.3872 0.6997
0.6064 0.9924 0.3203
0.6128 0.4199 0.3003
0.6901 0.8940 0.0144
0.6946 0.3054 0.0000
0.7668 0.7668 0.7147
0.8100 0.8100 0.3253
0.8940 0.6901 0.0144
0.9924 0.6064 0.3203
```

## Properties
D(E_F) (states/eV/cell): 4.4
Formation energy (no corrections) (eV/atom): -1.291
Final energy (eV/atom): -4.197

(4)
Computed, not measured: crystalline DyPaIrAu at its relaxed geometry at the GGA-PBE level of DFT.

```
DyPaIrAu
1.0
0.0000 3.5274 3.5274
3.5274 0.0000 3.5274
3.5274 3.5274 0.0000
Dy Pa Ir Au
1 1 1 1
direct
0.0000 0.0000 0.0000
0.5000 0.5000 0.5000
0.2500 0.2500 0.2500
0.7500 0.7500 0.7500
```

## Properties
D(E_F) (states/eV/cell): 5.0
Energy of formation (eV/atom): -0.5717
Final energy (eV/atom): -7.131